This record from Alexandria via LeMat-Bulk describes a relaxed CsMnNbF6 crystal. The functional is GGA+U.

a b c (Å): 7.070 7.904 11.415
angles (deg): 90.00 90.00 90.00
Space group Imma (No. 74)
Asymmetric unit:
Cs  0.000  0.250  0.130 (multiplicity 4)
Mn  0.000  0.000  0.500 (multiplicity 4)
Nb  0.250  0.250  0.750 (multiplicity 4)
F  0.000  0.250  0.436 (multiplicity 4)
F  0.000  0.250  0.859 (multiplicity 4)
F  0.209  0.055  0.630 (multiplicity 16)

Values from the calculation:
- Magnetic moment: 25.00 μB per cell
- VASP energy: -215.68 eV/cell